[1]
Density functional theory data (meta-GGA SCAN) for a PBEsol-optimized structure of CuAgAu2.

Output
Polymorph energy (0 for the lowest one), kJ/mol of formula units: 38
Energy of formation, kJ per mole of atoms: 1
DFT total energy, eV per atom: -46.214

a b c (Å): 4.4629 4.4629 4.4629
angles (deg): 60.00 60.00 60.00
Last column: nearest neighbours and their distance in Å.
Atoms (fractional coordinates):
Au 0.0000 0.0000 0.0000  4 Cu 2.73, 4 Au 2.73
Au 0.7500 0.7500 0.7500  4 Ag 2.73, 4 Au 2.73
Cu 0.2500 0.2500 0.2500  4 Ag 2.73, 4 Au 2.73
Ag 0.5000 0.5000 0.5000  4 Au 2.73, 4 Cu 2.73

=====

[2]
Density functional theory data (meta-GGA SCAN) for a PBEsol-optimized structure of CuAg2Au.

Output
Polymorph energy (0 for the lowest one), kJ/mol of formula units: 11
Energy of formation, kJ per mole of atoms: 1
DFT total energy, eV per atom: -36.758

a b c (Å): 2.8090 4.8448 4.8712
angles (deg): 101.56 90.00 106.85
Last column: nearest neighbours and their distance in Å.
Atoms (fractional coordinates):
Au 0.5092 0.0184 0.5128  3 Cu 2.67-2.87, 7 Ag 2.77-2.86, 2 Au 2.81
Cu 0.2490 0.4980 0.7452  3 Au 2.67-2.87, 7 Ag 2.71-2.90, 2 Cu 2.81
Ag 0.9915 0.9829 0.9958  3 Cu 2.71-2.90, 5 Ag 2.76-2.83, 4 Au 2.77-2.86
Ag 0.7503 0.5007 0.2462  5 Ag 2.76-2.83, 4 Cu 2.81, 3 Au 2.81-2.85

=====

[3]
Density functional theory data (meta-GGA SCAN) for a PBEsol-optimized structure of CuAg2Au.

Output
Polymorph energy (0 for the lowest one), kJ/mol of formula units: 5
Energy of formation, kJ per mole of atoms: 0
DFT total energy, eV per atom: -36.773

a b c (Å): 2.8081 3.7926 5.8036
angles (deg): 90.00 90.00 90.00
Last column: nearest neighbours and their distance in Å.
Atoms (fractional coordinates):
Au 0.0000 0.0000 0.5164  4 Cu 2.71, 5 Ag 2.74-2.83, 2 Au 2.81
Cu 0.5000 0.5000 0.7473  4 Au 2.71, 6 Ag 2.74-2.90, 2 Cu 2.81
Ag 0.0000 0.0000 0.9887  2 Au 2.74-3.06, 4 Cu 2.74, 6 Ag 2.80-2.81
Ag 0.5000 0.5000 0.2476  6 Ag 2.80-2.81, 4 Au 2.83, 2 Cu 2.90

=====

[4]
Density functional theory data (meta-GGA SCAN) for a PBEsol-optimized structure of CuAgAu.

Output
Polymorph energy (0 for the lowest one), kJ/mol of formula units: 0
Energy of formation, kJ per mole of atoms: -2
DFT total energy, eV per atom: -38.594

a b c (Å): 2.8035 2.8035 6.0556
angles (deg): 103.38 103.38 90.00
Last column: nearest neighbours and their distance in Å.
Atoms (fractional coordinates):
Au 0.6766 0.6766 0.3533  4 Cu 2.67, 4 Au 2.80, 4 Ag 2.91
Ag 0.9905 0.9905 0.9810  4 Cu 2.68, 4 Ag 2.80, 4 Au 2.91
Cu 0.3329 0.3329 0.6657  4 Au 2.67, 4 Ag 2.68, 4 Cu 2.80

=====

no.,volume (Å³/cell)
1,62.9
2,62.0
3,61.8
4,45.0